CrPBr2 | PBE | optimized geometry

## Properties
- Fermi-level density of states (states/eV per atom) = 1.15
- symmetry = No. 166
- E_form (uncorrected) (meV per atom) = 356
- electronic total energy (eV/atom) = -4.239

Structure (POSCAR):
```
CrPBr2
1.0
1.7559 1.0138 10.7149
-1.7559 1.0138 10.7149
0.0000 -2.0276 10.7149
Cr P Br
1 1 2
Direct
0.0000 0.0000 0.0000
0.5000 0.5000 0.5000
0.2830 0.2830 0.2830
0.7170 0.7170 0.7170
```